1:
GaNiF2 | Alexandria via LeMat-Bulk | PBE+U | relaxed; symmetry = R-3m
1.0
1.815 -3.551 7.425
2.636 -5.782 5.536
4.568 -3.521 6.146
Ni Ga F
1 1 2
direct
0.500 0.500 0.500
0.000 0.000 0.000
0.875 0.875 0.875
0.125 0.125 0.125

***

2:
GaNiF2 | Alexandria via LeMat-Bulk | PBE+U | relaxed; symmetry = Fm-3m
1.0
3.549 -1.586 1.522
2.711 2.477 1.985
0.524 -0.362 4.125
Ni Ga F
1 1 2
direct
0.000 0.000 0.000
0.500 0.500 0.500
0.250 0.250 0.250
0.750 0.750 0.750

***

Verdict on stability: 2 comes out at the bottom.